Below is an optimized crystal structure of Na2YF6, with properties calculated at the PBE level.

It has space group P-62m (No. 189), with a = 6.0948 Å, b = 6.0948 Å, c = 3.5920 Å, α = 90.00°, β = 90.00° and γ = 120.00°. The distinct sites, in fractional coordinates, are Na at (0.3333, 0.6667, 0.0000), Y at (0.0000, 0.0000, 0.5000), F at (0.0000, 0.2489, 0.0000) and F at (0.0000, 0.6271, 0.5000).

The calculation puts the theoretical density at 3.58 g/cm³. The raw formation energy comes out at -27.2 eV/f.u. The value obtained for the size of the total moment is 0.111 μB per atom.